Entry 1:
{"formula": "Li2TaPb", "functional": "meta-GGA SCAN", "state": "single point on PBEsol structure", "lattice_angstrom": [[-3.6676, 3.6676, 2.7857], [3.6676, -3.6676, 2.7857], [3.6676, 3.6676, -2.7857]], "species": ["Li", "Li", "Li", "Li", "Ta", "Ta", "Pb", "Pb"], "fractional_positions": [[0.1137, 0.6250, 0.9887], [0.3750, 0.3637, 0.4887], [0.6363, 0.1250, 0.0113], [0.8750, 0.8863, 0.5113], [0.2500, 0.7500, 0.5000], [0.5000, 0.5000, 0.0000], [0.0000, 0.0000, 0.0000], [0.7500, 0.2500, 0.5000]], "m_tot_mub_per_fu": 0.8, "dos_ef_per_ev_atom": 0.83, "vol_a3_per_atom": 18.7, "ef_ev_per_atom": 0.629}


Entry 2:
{"formula": "Er5Sb3", "functional": "meta-GGA SCAN", "state": "single point on PBEsol structure", "lattice_angstrom": [[11.5485, 0.0000, 0.0000], [0.0000, 9.1126, 0.0000], [0.0000, 0.0000, 7.9384]], "species": ["Er", "Er", "Er", "Er", "Er", "Er", "Er", "Er", "Er", "Er", "Er", "Er", "Er", "Er", "Er", "Er", "Er", "Er", "Er", "Er", "Sb", "Sb", "Sb", "Sb", "Sb", "Sb", "Sb", "Sb", "Sb", "Sb", "Sb", "Sb"], "fractional_positions": [[0.0042, 0.2500, 0.0239], [0.0648, 0.0585, 0.6913], [0.0648, 0.4415, 0.6913], [0.2104, 0.7500, 0.3427], [0.2282, 0.2500, 0.3260], [0.2718, 0.7500, 0.8260], [0.2896, 0.2500, 0.8427], [0.4352, 0.5585, 0.1913], [0.4352, 0.9415, 0.1913], [0.4958, 0.7500, 0.5239], [0.5042, 0.2500, 0.4761], [0.5648, 0.0585, 0.8087], [0.5648, 0.4415, 0.8087], [0.7104, 0.7500, 0.1573], [0.7282, 0.2500, 0.1740], [0.7718, 0.7500, 0.6740], [0.7896, 0.2500, 0.6573], [0.9352, 0.5585, 0.3087], [0.9352, 0.9415, 0.3087], [0.9958, 0.7500, 0.9761], [0.0254, 0.7500, 0.5966], [0.1745, 0.5086, 0.0636], [0.1745, 0.9914, 0.0636], [0.3255, 0.0086, 0.5636], [0.3255, 0.4914, 0.5636], [0.4746, 0.2500, 0.0966], [0.5254, 0.7500, 0.9034], [0.6745, 0.5086, 0.4364], [0.6745, 0.9914, 0.4364], [0.8255, 0.0086, 0.9364], [0.8255, 0.4914, 0.9364], [0.9746, 0.2500, 0.4034]], "m_tot_mub_per_fu": 0.0, "dos_ef_per_ev_atom": 0.68, "vol_a3_per_atom": 26.1, "raw_formation_energy_ev_per_atom": -0.96}